This record from Alexandria via LeMat-Bulk describes La4SmS4 after structural relaxation. The functional is PBE.

Structure (POSCAR):
```
La4SmS4
1.0
-4.575 4.575 2.930
4.575 -4.575 2.930
4.575 4.575 -2.930
La Sm S
4 1 4
direct
0.101 0.698 0.799
0.302 0.101 0.402
0.698 0.899 0.598
0.899 0.302 0.201
0.500 0.500 0.000
0.204 0.402 0.606
0.402 0.796 0.198
0.598 0.204 0.802
0.796 0.598 0.394
```

Computed properties:
- Total DFT energy (no corrections): -6.410 eV/atom
- DOS at the Fermi energy: 0.7754 states/eV/atom
- SG: I4/m (87)
- E_form (uncorrected): -1.8614 eV per atom
- Spin magnetization: 0.00 μB/cell
- Calculated density: 5646 kg/m3